#a
Here is a relaxed structure of NbS2I from the Alexandria database. Energies are from PBE.

Geometry as extended XYZ:
```
4
Lattice="3.3866 0.0018 -0.0012 1.6909 2.9343 -0.0012 -0.0079 -0.0048 11.4794" Properties=species:S:1:pos:R:3 pbc="T T T"
Nb 1.0058 0.5816 3.7129
S 2.6979 1.5600 2.1648
S 4.3912 2.5392 5.2572
I 2.6978 1.5598 9.2011
```

=====

#b
Here is a relaxed structure of NbS2I from the Alexandria database. Energies are from PBE.

Geometry as extended XYZ:
```
4
Lattice="0.0000 3.3264 3.3264 3.3264 0.0000 3.3264 3.3264 3.3264 0.0000" Properties=species:S:1:pos:R:3 pbc="T T T"
I 3.3264 3.3264 3.3264
Nb 0.0000 0.0000 0.0000
S 1.6632 1.6632 1.6632
S 4.9897 4.9897 4.9897
```

=====

Stability summary - winner: #a; margin: 1.051 eV/atom.

=====

#a
Here is a relaxed structure of NbS3I from the Alexandria database. Energies are from PBE.

Geometry as extended XYZ:
```
5
Lattice="4.8677 0.0000 0.0000 0.0000 4.8677 0.0000 0.0000 0.0000 4.8677" Properties=species:S:1:pos:R:3 pbc="T T T"
Nb 0.0000 0.0000 0.0000
S 0.0000 2.4338 0.0000
S 0.0000 0.0000 2.4338
S 2.4338 0.0000 0.0000
I 2.4338 2.4338 2.4338
```

=====

#b
Here is a relaxed structure of NbS3I from the Alexandria database. Energies are from PBE.

Geometry as extended XYZ:
```
10
Lattice="5.2263 0.0000 0.0000 0.0000 5.2263 0.0000 -2.6131 -2.6131 8.7417" Properties=species:S:1:pos:R:3 pbc="T T T"
Nb 0.0000 0.0000 0.0000
Nb 0.0000 2.6131 4.3708
S -1.0198 2.6131 6.7375
S 0.0000 1.5933 2.0042
S 0.0000 3.6330 2.0042
S 1.0198 2.6131 6.7375
S 0.0000 0.0000 4.8352
S 2.6131 2.6131 3.9064
I 2.6131 0.0000 1.2316
I 2.6131 0.0000 7.5101
```

=====

#c
Here is a relaxed structure of NbS3I from the Alexandria database. Energies are from PBE.

Geometry as extended XYZ:
```
5
Lattice="5.0208 0.0000 0.0000 0.0000 5.0208 0.0000 0.0000 0.0000 5.0208" Properties=species:S:1:pos:R:3 pbc="T T T"
I 0.0000 0.0000 0.0000
Nb 2.5104 2.5104 2.5104
S 0.0000 2.5104 0.0000
S 0.0000 0.0000 2.5104
S 2.5104 0.0000 0.0000
```

=====

Stability summary - winner: #a; margin: 0.055 eV/atom.

=====

#a
Here is a relaxed structure of Nb2SI from the Alexandria database. Energies are from PBE.

Geometry as extended XYZ:
```
4
Lattice="0.0000 3.2993 3.2993 3.2993 0.0000 3.2993 3.2993 3.2993 0.0000" Properties=species:S:1:pos:R:3 pbc="T T T"
I 3.2993 3.2993 3.2993
Nb 1.6496 1.6496 1.6496
Nb 4.9489 4.9489 4.9489
S 0.0000 0.0000 0.0000
```

=====

#b
Here is a relaxed structure of Nb2SI from the Alexandria database. Energies are from PBE.

Geometry as extended XYZ:
```
8
Lattice="-0.0503 -0.4094 4.7944 -4.3733 -1.9959 -0.2163 1.1059 -8.4095 1.7085" Properties=species:S:1:pos:R:3 pbc="T T T"
I 0.0000 0.0000 0.0000
I -0.5781 -5.0107 4.3960
Nb -0.2976 -2.5750 3.0138
Nb -2.4672 -3.4336 1.2740
Nb -1.1786 -7.3684 2.9809
Nb -2.6921 -8.2523 5.3045
S -2.2118 -1.2026 2.2891
S -2.7396 -5.8040 1.8907
```

=====

Stability summary - winner: #b; margin: 0.069 eV/atom.

=====

#a
Here is a relaxed structure of Nb3SI from the Alexandria database. Energies are from PBE.

Geometry as extended XYZ:
```
5
Lattice="-3.2835 -1.6679 3.4341 -2.5119 -2.4671 -3.6000 2.8750 -4.0606 0.7767" Properties=species:S:1:pos:R:3 pbc="T T T"
I 0.0000 0.0000 0.0000
Nb -1.2560 -1.2336 -1.8000
Nb 1.4375 -2.0303 0.3883
Nb -1.6418 -0.8340 1.7171
S -1.4603 -4.0978 0.3054
```

=====

#b
Here is a relaxed structure of Nb3SI from the Alexandria database. Energies are from PBE.

Geometry as extended XYZ:
```
5
Lattice="-2.0875 -3.5520 2.2456 3.4943 -0.0744 3.1307 -2.3343 3.0650 2.6783" Properties=species:S:1:pos:R:3 pbc="T T T"
I -0.4637 -0.2807 4.0273
Nb 1.7472 -0.0372 1.5653
Nb -1.1672 1.5325 1.3392
Nb -1.0437 -1.7760 1.1228
S 0.0000 0.0000 0.0000
```

=====

Stability summary - winner: #b; margin: 1.431 eV/atom.

=====

#a
Here is a relaxed structure of NbTeSI2 from the Alexandria database. Energies are from PBE.

Geometry as extended XYZ:
```
5
Lattice="5.4477 0.0000 0.0000 0.0000 5.4477 0.0000 0.0000 0.0000 5.4563" Properties=species:S:1:pos:R:3 pbc="T T T"
I 0.0000 2.7239 0.0000
I 2.7239 0.0000 0.0000
Nb 0.0000 0.0000 0.0000
Te 0.0000 0.0000 2.7281
S 2.7239 2.7239 2.7281
```

=====

#b
Here is a relaxed structure of NbTeSI2 from the Alexandria database. Energies are from PBE.

Geometry as extended XYZ:
```
5
Lattice="5.4349 0.0000 0.0000 0.0000 5.4349 0.0000 0.0000 0.0000 5.2706" Properties=species:S:1:pos:R:3 pbc="T T T"
I 0.0000 2.7174 0.0000
I 2.7174 0.0000 0.0000
Nb 2.7174 2.7174 2.6353
Te 0.0000 0.0000 2.6353
S 0.0000 0.0000 0.0000
```

=====

Stability summary - winner: #a; margin: 0.507 eV/atom.

=====

#a
Here is a relaxed structure of NbSbI3 from the Alexandria database. Energies are from PBE.

Geometry as extended XYZ:
```
5
Lattice="6.0039 0.0000 0.0000 0.0000 6.0039 0.0000 0.0000 0.0000 6.0039" Properties=species:S:1:pos:R:3 pbc="T T T"
I 0.0000 3.0019 0.0000
I 0.0000 0.0000 3.0019
I 3.0019 0.0000 0.0000
Sb 0.0000 0.0000 0.0000
Nb 3.0019 3.0019 3.0019
```

=====

#b
Here is a relaxed structure of NbSbI3 from the Alexandria database. Energies are from PBE.

Geometry as extended XYZ:
```
5
Lattice="5.7447 0.0000 0.0000 0.0000 5.7447 0.0000 0.0000 0.0000 5.7447" Properties=species:S:1:pos:R:3 pbc="T T T"
I 0.0000 2.8723 0.0000
I 0.0000 0.0000 2.8723
I 2.8723 0.0000 0.0000
Sb 2.8723 2.8723 2.8723
Nb 0.0000 0.0000 0.0000
```

=====

Stability summary - winner: #b; margin: 0.548 eV/atom.

=====

#a
Here is a relaxed structure of NbSbI2 from the Alexandria database. Energies are from PBE.

Geometry as extended XYZ:
```
8
Lattice="10.1790 0.0000 0.0000 0.0000 10.1790 0.0000 5.0895 5.0895 2.7336" Properties=species:S:1:pos:R:3 pbc="T T T"
I 6.2067 2.5447 0.6834
I 3.9722 7.6342 0.6834
I 7.6342 9.0617 2.0502
I 12.7237 11.2962 2.0502
Sb 0.0000 0.0000 0.0000
Sb 10.1790 5.0895 1.3668
Nb 5.0895 5.0895 0.0000
Nb 5.0895 10.1790 1.3668
```

=====

#b
Here is a relaxed structure of NbSbI2 from the Alexandria database. Energies are from PBE.

Geometry as extended XYZ:
```
4
Lattice="-0.2081 0.8511 5.1408 -4.0622 2.5396 2.0601 -3.4668 -2.5677 2.9298" Properties=species:S:1:pos:R:3 pbc="T T T"
I -1.9343 0.2057 2.5327
I -5.8028 0.6172 7.5980
Sb -3.8686 0.4115 5.0654
Nb 0.0000 0.0000 0.0000
```

=====

Stability summary - winner: #a; margin: 0.523 eV/atom.

=====

#a
Here is a relaxed structure of NbSb2SeI from the Alexandria database. Energies are from PBE.

Geometry as extended XYZ:
```
5
Lattice="5.3185 0.0000 0.0000 0.0000 5.3185 0.0000 0.0000 0.0000 5.6367" Properties=species:S:1:pos:R:3 pbc="T T T"
I 0.0000 0.0000 2.8183
Sb 0.0000 2.6592 0.0000
Sb 2.6592 0.0000 0.0000
Nb 2.6592 2.6592 2.8183
Se 0.0000 0.0000 0.0000
```

=====

#b
Here is a relaxed structure of NbSb2SeI from the Alexandria database. Energies are from PBE.

Geometry as extended XYZ:
```
5
Lattice="5.4506 0.0000 0.0000 0.0000 5.4506 0.0000 0.0000 0.0000 5.2273" Properties=species:S:1:pos:R:3 pbc="T T T"
I 0.0000 0.0000 2.6137
Sb 0.0000 2.7253 0.0000
Sb 2.7253 0.0000 0.0000
Nb 0.0000 0.0000 0.0000
Se 2.7253 2.7253 2.6137
```

=====

Stability summary - winner: #b; margin: 0.685 eV/atom.

=====

#a
Here is a relaxed structure of NbSnSbI2 from the Alexandria database. Energies are from PBE.

Geometry as extended XYZ:
```
5
Lattice="5.8274 0.0000 0.0000 0.0000 5.8274 0.0000 0.0000 0.0000 5.8318" Properties=species:S:1:pos:R:3 pbc="T T T"
I 0.0000 2.9137 0.0000
I 2.9137 0.0000 0.0000
Sb 0.0000 0.0000 2.9159
Nb 2.9137 2.9137 2.9159
Sn 0.0000 0.0000 0.0000
```

=====

#b
Here is a relaxed structure of NbSnSbI2 from the Alexandria database. Energies are from PBE.

Geometry as extended XYZ:
```
5
Lattice="5.5264 0.0000 0.0000 0.0000 5.5264 0.0000 0.0000 0.0000 5.5965" Properties=species:S:1:pos:R:3 pbc="T T T"
I 0.0000 2.7632 0.0000
I 2.7632 0.0000 0.0000
Sb 0.0000 0.0000 2.7983
Nb 0.0000 0.0000 0.0000
Sn 2.7632 2.7632 2.7983
```

=====

Stability summary - winner: #b; margin: 0.684 eV/atom.

=====

#a
Here is a relaxed structure of SrNbSbI2 from the Alexandria database. Energies are from PBE.

Geometry as extended XYZ:
```
5
Lattice="-0.5685 -0.6369 6.0550 0.5464 -6.0621 -0.5863 6.4865 0.5204 0.6638" Properties=species:S:1:pos:R:3 pbc="T T T"
I 0.2732 -3.0310 -0.2932
I -0.2843 -0.3184 3.0275
Sb 3.2433 0.2602 0.3319
Nb 3.2322 -3.0893 3.0662
Sr 0.0000 0.0000 0.0000
```

=====

#b
Here is a relaxed structure of SrNbSbI2 from the Alexandria database. Energies are from PBE.

Geometry as extended XYZ:
```
5
Lattice="-1.4642 5.5065 -0.4772 -4.6301 -1.4916 -3.0052 -2.9077 -0.3690 4.6630" Properties=species:S:1:pos:R:3 pbc="T T T"
I -2.3150 -0.7458 -1.5026
I -0.7321 2.7533 -0.2386
Sb -1.4538 -0.1845 2.3315
Nb 0.0000 0.0000 0.0000
Sr -4.5010 1.8229 0.5903
```

=====

Stability summary - winner: #b; margin: 0.930 eV/atom.

=====

#a
Here is a relaxed structure of SrNbSb2I from the Alexandria database. Energies are from PBE.

Geometry as extended XYZ:
```
5
Lattice="5.3828 0.0000 0.0000 0.0000 5.3828 0.0000 0.0000 0.0000 5.8798" Properties=species:S:1:pos:R:3 pbc="T T T"
I 0.0000 0.0000 2.9399
Sb 0.0000 2.6914 0.0000
Sb 2.6914 0.0000 0.0000
Nb 0.0000 0.0000 0.0000
Sr 2.6914 2.6914 2.9399
```

=====

#b
Here is a relaxed structure of SrNbSb2I from the Alexandria database. Energies are from PBE.

Geometry as extended XYZ:
```
5
Lattice="5.9903 0.0000 0.0000 0.0000 5.9903 0.0000 0.0000 0.0000 5.9967" Properties=species:S:1:pos:R:3 pbc="T T T"
I 0.0000 0.0000 2.9984
Sb 0.0000 2.9951 0.0000
Sb 2.9951 0.0000 0.0000
Nb 2.9951 2.9951 2.9984
Sr 0.0000 0.0000 0.0000
```

=====

Stability summary - winner: #a; margin: 1.376 eV/atom.

=====

#a
Here is a relaxed structure of NbSb2WI from the Alexandria database. Energies are from PBE.

Geometry as extended XYZ:
```
5
Lattice="5.5849 0.0000 0.0000 0.0000 4.8642 0.0000 0.0000 0.0000 5.5849" Properties=species:S:1:pos:R:3 pbc="T T T"
I 0.0000 0.0000 0.0000
Sb 0.0000 0.0000 2.7924
Sb 2.7924 0.0000 0.0000
Nb 2.7924 2.4321 2.7924
W 0.0000 2.4321 0.0000
```

=====

#b
Here is a relaxed structure of NbSb2WI from the Alexandria database. Energies are from PBE.

Geometry as extended XYZ:
```
5
Lattice="-0.5886 1.6319 -4.8901 3.8096 -3.1783 -1.5192 -3.7904 -4.1064 -0.9141" Properties=species:S:1:pos:R:3 pbc="T T T"
I -1.8952 -2.0532 -0.4571
Sb 1.9048 -1.5891 -0.7596
Sb -0.2943 0.8160 -2.4450
Nb -0.2847 -2.8264 -3.6617
W 0.0000 0.0000 0.0000
```

=====

Stability summary - winner: #b; margin: 1.113 eV/atom.

=====

#a
Here is a relaxed structure of NbZnSb2I from the Alexandria database. Energies are from PBE.

Geometry as extended XYZ:
```
5
Lattice="-1.2828 2.6660 -4.4595 -4.6457 1.4682 2.2140 2.5261 4.7799 2.1309" Properties=species:S:1:pos:R:3 pbc="T T T"
I 1.2630 2.3900 1.0655
Sb -2.3229 0.7341 1.1070
Sb -0.6414 1.3330 -2.2298
Nb 0.0000 0.0000 0.0000
Zn -1.7012 4.4570 -0.0573
```

=====

#b
Here is a relaxed structure of NbZnSb2I from the Alexandria database. Energies are from PBE.

Geometry as extended XYZ:
```
5
Lattice="-3.7072 -1.3213 -3.2291 -2.3620 -2.5172 3.7417 -2.8259 4.6474 1.3427" Properties=species:S:1:pos:R:3 pbc="T T T"
I -1.4129 2.3237 0.6713
Sb -1.1810 -1.2586 1.8709
Sb -1.8536 -0.6606 -1.6145
Nb -4.4475 0.4044 0.9276
Zn 0.0000 0.0000 0.0000
```

=====

Stability summary - winner: #a; margin: 0.580 eV/atom.

=====

#a
Here is a relaxed structure of NbZnSbI2 from the Alexandria database. Energies are from PBE.

Geometry as extended XYZ:
```
5
Lattice="-3.5034 4.0839 1.6055 -3.6449 -1.5642 -3.9747 -2.3730 -3.4204 3.5222" Properties=species:S:1:pos:R:3 pbc="T T T"
I -1.8224 -0.7821 -1.9874
I -1.7517 2.0420 0.8028
Sb -1.1865 -1.7102 1.7611
Nb 0.0000 0.0000 0.0000
Zn -4.7607 -0.4504 0.5765
```

=====

#b
Here is a relaxed structure of NbZnSbI2 from the Alexandria database. Energies are from PBE.

Geometry as extended XYZ:
```
5
Lattice="5.4264 0.0000 0.0000 0.0000 5.4264 0.0000 0.0000 0.0000 5.2632" Properties=species:S:1:pos:R:3 pbc="T T T"
I 0.0000 2.7132 0.0000
I 2.7132 0.0000 0.0000
Sb 0.0000 0.0000 2.6316
Nb 2.7132 2.7132 2.6316
Zn 0.0000 0.0000 0.0000
```

=====

Stability summary - winner: #a; margin: 0.614 eV/atom.